# 1
Tb2Ga6CoPd: relaxed, PBE.

The space group is Fm-3m (No. 225) and the conventional cell measures 9.302, 9.302 and 9.302 Å, with angles of 90.00, 90.00 and 90.00 degrees. Symmetry generates all atoms from Tb at (0.250, 0.250, 0.250), Ga at (0.000, 0.000, 0.242), Co at (0.000, 0.000, 0.000) and Pd at (0.000, 0.000, 0.500).

As for the size of the total moment: 0.00 μB per atom. Its formation energy is -0.3016 eV per atom.

---

# 2
TmGa3CoPd: relaxed, PBE.

The space group is Cmcm (No. 63) and the conventional cell measures 8.140, 10.535 and 5.215 Å, with angles of 90.00, 90.00 and 90.00 degrees. Symmetry generates all atoms from Tm at (0.000, 0.203, 0.250), Ga at (0.000, 0.330, 0.750), Ga at (0.242, 0.500, 0.000), Co at (0.000, 0.444, 0.250) and Pd at (0.000, 0.083, 0.750).

As for the size of the total moment: 0.00 μB per atom. Its formation energy is -0.3581 eV per atom.

---

# 3
Tm2Ga6CoPd: relaxed, PBE.

The space group is Fm-3m (No. 225) and the conventional cell measures 9.289, 9.289 and 9.289 Å, with angles of 90.00, 90.00 and 90.00 degrees. Symmetry generates all atoms from Tm at (0.250, 0.250, 0.250), Ga at (0.000, 0.000, 0.242), Co at (0.000, 0.000, 0.000) and Pd at (0.000, 0.000, 0.500).

As for the size of the total moment: 0.00 μB per atom. Its formation energy is -0.2312 eV per atom.

---

# 4
VGaCoPd: relaxed, PBE.

The space group is F-43m (No. 216) and the conventional cell measures 5.996, 5.996 and 5.996 Å, with angles of 90.00, 90.00 and 90.00 degrees. Symmetry generates all atoms from V at (0.000, 0.000, 0.000), Ga at (0.000, 0.000, 0.500), Co at (0.250, 0.250, 0.250) and Pd at (0.250, 0.250, 0.750).

As for the size of the total moment: 0.39 μB per atom. Its formation energy is -0.2057 eV per atom.

---

# 5
Y2Ga5Co2Pd: relaxed, PBE.

The space group is P4/mbm (No. 127) and the conventional cell measures 9.171, 9.171 and 4.015 Å, with angles of 90.00, 90.00 and 90.00 degrees. Symmetry generates all atoms from Y at (0.182, 0.318, 0.000), Ga at (0.000, 0.500, 0.500), Ga at (0.061, 0.792, 0.500), Co at (0.112, 0.612, 0.000) and Pd at (0.000, 0.000, 0.000).

As for the size of the total moment: 0.00 μB per atom. Its formation energy is -0.4705 eV per atom.

---

# 6
YGa4CoPd2: relaxed, PBE.

The space group is R-3m (No. 166, hexagonal axes) and the conventional cell measures 4.2300, 4.2300 and 25.8019 Å, with angles of 90.00, 90.00 and 120.00 degrees. Symmetry generates all atoms from Y at (0.0000, 0.0000, 0.0000), Ga at (0.0000, 0.0000, 0.1357), Ga at (0.0000, 0.0000, 0.4009), Co at (0.0000, 0.0000, 0.5000) and Pd at (0.0000, 0.0000, 0.2382).

As for the size of the total moment: 0.06 μB per atom. Its formation energy is -0.5510 eV per atom.

---

# 7
ZnGaCoPd: relaxed, PBE.

The space group is F-43m (No. 216) and the conventional cell measures 5.978, 5.978 and 5.978 Å, with angles of 90.00, 90.00 and 90.00 degrees. Symmetry generates all atoms from Zn at (0.000, 0.000, 0.000), Ga at (0.000, 0.000, 0.500), Co at (0.250, 0.250, 0.250) and Pd at (0.250, 0.250, 0.750).

As for the size of the total moment: 0.13 μB per atom. Its formation energy is -0.3121 eV per atom.

---

# 8
Pm2Ga3Co4: relaxed, PBE.

The space group is Cmce (No. 64) and the conventional cell measures 5.482, 15.332 and 6.877 Å, with angles of 90.00, 90.00 and 90.00 degrees. Symmetry generates all atoms from Pm at (0.000, 0.105, 0.084), Ga at (0.000, 0.000, 0.500), Ga at (0.250, 0.235, 0.750), Co at (0.000, 0.170, 0.497) and Co at (0.250, 0.075, 0.750).

As for the size of the total moment: 0.00 μB per atom. Its formation energy is -0.3217 eV per atom.

---

# 9
PmGa6Co4: relaxed, PBE.

The space group is P-6m2 (No. 187) and the conventional cell measures 6.9523, 6.9523 and 3.9458 Å, with angles of 90.00, 90.00 and 120.00 degrees. Symmetry generates all atoms from Pm at (0.0000, 0.0000, 0.0000), Ga at (0.1969, 0.3939, 0.5000), Ga at (0.5329, 0.0659, 0.0000), Co at (0.3333, 0.6667, 0.0000) and Co at (0.4278, 0.2139, 0.5000).

As for the size of the total moment: 0.00 μB per atom. Its formation energy is -0.2994 eV per atom.

---

# 10
Pm6Ga2Co: relaxed, PBE.

The space group is Amm2 (No. 38) and the conventional cell measures 4.384, 13.791 and 7.978 Å, with angles of 90.00, 90.00 and 90.00 degrees. Symmetry generates all atoms from Pm at (0.000, 0.000, 0.000), Pm at (0.000, 0.121, 0.635), Pm at (0.500, 0.000, 0.338), Pm at (0.500, 0.209, 0.966), Ga at (0.000, 0.167, 0.257) and Co at (0.500, 0.000, 0.758).

As for the size of the total moment: 0.00 μB per atom. Its formation energy is -0.2777 eV per atom.

---

# 11
PmGa9Co2: relaxed, PBE.

The space group is I4_1/amd (No. 141, origin choice 2) and the conventional cell measures 10.761, 10.761 and 6.801 Å, with angles of 90.00, 90.00 and 90.00 degrees. Symmetry generates all atoms from Pm at (0.000, 0.250, 0.375), Ga at (0.000, 0.250, 0.875), Ga at (0.120, 0.057, 0.683) and Co at (0.000, 0.000, 0.000).

As for the polymorph energy (0 for the lowest one): 81.1 meV/atom. As for the size of the total moment: 0.00 μB per atom. Its formation energy is -0.2117 eV per atom.

---

# 12
Pm3GaCo: relaxed, PBE.

The space group is C2/m (No. 12) and the conventional cell measures 10.280, 6.433 and 8.582 Å, with angles of 90.00, 115.23 and 90.00 degrees. Symmetry generates all atoms from Pm at (0.016, 0.000, 0.225), Pm at (0.186, 0.500, 0.863), Pm at (0.204, 0.500, 0.333), Ga at (0.000, 0.297, 0.500) and Co at (0.000, 0.319, 0.000).

As for the polymorph energy (0 for the lowest one): 0.0 meV/atom. As for the size of the total moment: 0.00 μB per atom. Its formation energy is -0.2580 eV per atom.